1.
DFT (PBE) results for an optimized crystal structure of Ac3La4Sm.

a = 6.6054 Å, b = 6.6054 Å, c = 10.8238 Å
α = 114.23°, β = 114.23°, γ = 48.28°
Fractional positions:
Ac 0.0000 0.0000 0.0000
Ac 0.4976 0.4976 0.2557
Ac 0.5024 0.5024 0.7443
La 0.2493 0.2493 0.3782
La 0.2500 0.2500 0.8711
La 0.7500 0.7500 0.1289
La 0.7507 0.7507 0.6218
Sm 0.0000 0.0000 0.5000



2.
DFT (PBE) results for an optimized crystal structure of Ac12La5Sm2.

a = 11.5409 Å, b = 11.5409 Å, c = 6.7389 Å
α = 101.09°, β = 101.09°, γ = 66.30°
Fractional positions:
Ac 0.0441 0.5635 0.7956
Ac 0.0582 0.0582 0.2726
Ac 0.1463 0.6504 0.3712
Ac 0.3496 0.8537 0.6288
Ac 0.3895 0.3895 0.9950
Ac 0.4365 0.9559 0.2044
Ac 0.5635 0.0441 0.7956
Ac 0.6105 0.6105 0.0050
Ac 0.6504 0.1463 0.3712
Ac 0.8537 0.3496 0.6288
Ac 0.9418 0.9418 0.7274
Ac 0.9559 0.4365 0.2044
La 0.1855 0.1855 0.8579
La 0.2898 0.2898 0.4417
La 0.5000 0.5000 0.5000
La 0.7102 0.7102 0.5583
La 0.8145 0.8145 0.1421
Sm 0.2627 0.7373 0.0000
Sm 0.7373 0.2627 0.0000



3.
DFT (PBE) results for an optimized crystal structure of AcLa8Sm4.

a = 8.0120 Å, b = 8.0120 Å, c = 8.0120 Å
α = 96.32°, β = 96.32°, γ = 96.32°
Fractional positions:
Ac 0.0000 0.0000 0.0000
La 0.1717 0.6672 0.6672
La 0.2695 0.2695 0.2695
La 0.3328 0.3328 0.8283
La 0.3328 0.8283 0.3328
La 0.6672 0.1717 0.6672
La 0.6672 0.6672 0.1717
La 0.7305 0.7305 0.7305
La 0.8283 0.3328 0.3328
Sm 0.0000 0.0000 0.5000
Sm 0.0000 0.5000 0.0000
Sm 0.5000 0.0000 0.0000
Sm 0.5000 0.5000 0.5000



4.
DFT (PBE) results for an optimized crystal structure of AcLaSm6.

a = 5.2163 Å, b = 5.2163 Å, c = 10.4306 Å
α = 90.00°, β = 90.00°, γ = 90.00°
Fractional positions:
Ac 0.0000 0.0000 0.0000
La 0.0000 0.0000 0.5000
Sm 0.0000 0.5000 0.2542
Sm 0.0000 0.5000 0.7458
Sm 0.5000 0.0000 0.2542
Sm 0.5000 0.0000 0.7458
Sm 0.5000 0.5000 0.0000
Sm 0.5000 0.5000 0.5000



Number 1: ΔE_f 0.026 eV/atom, density 7.3 Mg/m³. Number 2: ΔE_f 0.099 eV/atom, density 7.7 Mg/m³. Number 3: ΔE_f 0.366 eV/atom, density 6.4 Mg/m³. Number 4: ΔE_f 0.028 eV/atom, density 7.4 Mg/m³.